Below is a relaxed structure of CsBaHg4, with properties calculated at the PBE-GGA level.

Values from the calculation:
- Distance to the lowest polymorph of the same formula: 106 meV/atom
- E: -0.904 eV/atom
- Total moment: 0.000 μB per cell
- Calculated formation energy: -0.2402 eV per atom
- Volume: 33.909 A^3/atom

Unit cell a=9.3363 b=9.3363 c=9.3363 alpha=90.00 beta=90.00 gamma=90.00
Last column: nearest neighbours and their distance in Å.
Space group F-43m (No. 216)
Unique sites:
Cs (0.0000, 0.0000, 0.0000) x4  12 Hg 3.87, 4 Ba 4.04
Ba (0.2500, 0.2500, 0.2500) x4  12 Hg 3.87, 4 Cs 4.04
Hg (0.1247, 0.1247, 0.6247) x16  6 Hg 3.29-3.31